Arrangement A

Material: CuRuRh2
Method: DFT, GGA-PBEsol
State: optimized geometry

```
CuRuRh2
1.0
2.676 0.000 0.000
0.000 2.676 0.000
0.000 0.000 7.254
Ru Rh Cu
1 2 1
Cartesian
1.338 1.338 0.000
0.000 0.000 5.431
0.000 0.000 1.824
1.338 1.338 3.627
```

Symmetry: No. 123
DOS at the Fermi energy, states/eV/f.u.: 4.01
Total moment, μB/atom: 0.00


Arrangement B

Material: CuRuRh2
Method: DFT, GGA-PBEsol
State: optimized geometry

```
CuRuRh2
1.0
2.678 0.000 0.000
0.000 3.683 0.000
0.000 0.000 5.265
Ru Rh Cu
1 2 1
Cartesian
1.339 1.842 0.000
0.000 0.000 3.943
0.000 0.000 1.322
1.339 1.842 2.633
```

Symmetry: No. 47
DOS at the Fermi energy, states/eV/f.u.: 3.77
Total moment, μB/atom: 0.00


Result of the stability comparison: arrangement B is the least stable of them.


Arrangement A

Material: Tl2Se
Method: DFT, GGA-PBEsol
State: optimized geometry

```
Tl2Se
1.0
5.257 0.000 0.000
0.000 5.102 0.000
0.000 0.000 7.284
Tl Se
4 2
Cartesian
0.000 2.550 5.438
0.000 2.552 1.846
2.628 0.001 1.796
2.628 5.101 5.488
0.000 0.000 0.000
2.628 2.551 3.642
```

Symmetry: No. 71
DOS at the Fermi energy, states/eV/f.u.: 0.09
Total moment, μB/atom: 0.00


Arrangement B

Material: Tl2Se
Method: DFT, GGA-PBEsol
State: optimized geometry

```
Tl2Se
1.0
3.754 0.000 0.000
-1.877 6.310 -0.063
0.000 -2.142 7.149
Tl Se
4 2
Cartesian
1.877 2.536 6.646
0.000 0.534 4.105
1.877 3.634 2.981
0.000 1.632 0.440
1.877 -0.403 1.831
0.000 4.571 5.255
```

Symmetry: No. 12
DOS at the Fermi energy, states/eV/f.u.: 0.35
Total moment, μB/atom: 0.00


Result of the stability comparison: arrangement A is the least stable of them.


Arrangement A

Material: Li2CuRh
Method: DFT, GGA-PBEsol
State: optimized geometry

```
Li2CuRh
1.0
-1.688 -1.243 1.444
1.596 -4.011 -1.586
3.496 1.110 2.799
Rh Cu Li
1 1 2
Cartesian
0.029 -2.726 -0.068
2.466 -2.645 0.607
1.777 -0.178 4.170
0.891 -1.355 2.120
```

Symmetry: No. 8
DOS at the Fermi energy, states/eV/f.u.: 2.74
Total moment, μB/atom: 0.06


Arrangement B

Material: Li2CuRh
Method: DFT, GGA-PBEsol
State: optimized geometry

```
Li2CuRh
1.0
2.967 0.000 0.000
0.000 2.967 0.000
0.000 0.000 5.396
Cu Li Rh
1 2 1
Cartesian
1.483 1.483 2.698
0.000 0.000 4.052
0.000 0.000 1.344
1.483 1.483 0.000
```

Symmetry: No. 123
DOS at the Fermi energy, states/eV/f.u.: 2.31
Total moment, μB/atom: 0.00


Result of the stability comparison: arrangement B is the least stable of them.


Arrangement A

Material: BaTaSe2
Method: DFT, GGA-PBEsol
State: optimized geometry

```
BaTaSe2
1.0
-0.264 -0.269 -3.626
-1.587 -3.440 2.203
-5.490 4.829 0.042
Ba Se Ta
1 2 1
Cartesian
-2.581 -0.912 -1.577
-5.276 4.541 0.047
-3.809 1.451 0.170
-4.042 3.150 -1.772
```

Symmetry: No. 8
DOS at the Fermi energy, states/eV/f.u.: 3.44
Total moment, μB/atom: 0.00


Arrangement B

Material: BaTaSe2
Method: DFT, GGA-PBEsol
State: optimized geometry

```
BaTaSe2
1.0
3.339 0.000 0.000
0.000 3.339 0.000
0.000 0.000 7.683
Ba Se Ta
1 2 1
Cartesian
1.669 1.669 3.842
0.000 0.000 6.192
0.000 0.000 1.491
1.669 1.669 0.000
```

Symmetry: No. 123
DOS at the Fermi energy, states/eV/f.u.: 1.67
Total moment, μB/atom: 0.00


Result of the stability comparison: arrangement B is the least stable of them.


Arrangement A

Material: ReIr2Cl
Method: DFT, GGA-PBEsol
State: optimized geometry

```
ReIr2Cl
1.0
-1.616 2.159 -0.069
-2.298 -1.611 3.409
5.088 2.174 1.597
Re Ir Cl
1 2 1
Cartesian
-0.808 1.080 -0.035
-0.213 1.638 3.490
1.387 1.084 1.447
-1.149 -0.805 1.704
```

Symmetry: No. 71
DOS at the Fermi energy, states/eV/f.u.: 3.96
Total moment, μB/atom: 0.00


Arrangement B

Material: ReIr2Cl
Method: DFT, GGA-PBEsol
State: optimized geometry

```
ReIr2Cl
1.0
-2.231 -0.332 -1.664
-1.189 -1.654 1.925
-3.302 6.108 3.209
Re Ir Cl
1 2 1
Cartesian
-1.710 -0.993 0.131
-2.542 4.702 2.470
-0.760 1.406 0.739
-3.361 2.061 1.735
```

Symmetry: No. 123
DOS at the Fermi energy, states/eV/f.u.: 2.90
Total moment, μB/atom: 0.00


Result of the stability comparison: arrangement A is the least stable of them.


Arrangement A

Material: SiPPb2
Method: DFT, GGA-PBEsol
State: optimized geometry

```
SiPPb2
1.0
-1.321 2.775 -1.430
-1.710 -1.437 2.550
4.591 5.314 6.072
P Pb Si
1 2 1
Cartesian
-0.144 2.257 2.374
0.148 0.171 0.196
1.782 4.487 4.922
2.069 2.395 2.736
```

Symmetry: No. 35
DOS at the Fermi energy, states/eV/f.u.: 1.73
Total moment, μB/atom: 0.00


Arrangement B

Material: SiPPb2
Method: DFT, GGA-PBEsol
State: optimized geometry

```
SiPPb2
1.0
3.425 0.000 0.000
0.000 3.860 -0.002
0.000 -1.924 7.076
P Pb Si
1 2 1
Cartesian
1.713 -0.233 5.189
0.000 1.698 6.749
1.713 1.686 2.084
0.000 -0.240 3.664
```

Symmetry: No. 6
DOS at the Fermi energy, states/eV/f.u.: 1.75
Total moment, μB/atom: 0.00


Result of the stability comparison: arrangement A is the least stable of them.